# 1
Rb3WCl8 GGA-PBE relaxed; crystal system = hexagonal; formation energy from raw total energies = -1380 meV per atom
1.0
9.867 0.000 0.000
-4.933 8.545 0.000
0.000 0.000 9.341
Rb W Cl
6 2 16
Cartesian
0.000 2.611 0.000
-2.672 7.239 0.000
2.262 1.306 4.670
2.672 7.239 0.000
7.605 1.306 4.670
4.933 5.933 4.670
0.000 5.696 4.312
4.933 2.848 8.982
0.000 0.000 2.433
0.000 0.000 7.103
-1.659 4.739 2.978
0.000 3.776 5.696
-1.663 6.657 5.696
0.000 5.696 9.045
3.270 1.888 1.025
1.659 4.739 2.978
0.000 7.612 2.978
4.933 0.932 7.648
3.274 3.806 7.648
1.663 6.657 5.696
4.933 2.848 4.374
6.596 1.888 1.025
4.933 4.768 1.025
6.592 3.806 7.648

# 2
Ho4Cd3Pb GGA-PBE relaxed; crystal system = tetragonal; calculated formation energy = -0.353 eV per atom
1.0
5.308 0.000 0.000
0.000 5.308 0.000
0.000 0.000 7.458
Ho Cd Pb
4 3 1
Cartesian
0.000 2.654 1.830
0.000 2.654 5.629
2.654 0.000 1.830
2.654 0.000 5.629
0.000 0.000 0.000
0.000 0.000 3.729
2.654 2.654 0.000
2.654 2.654 3.729

# 3
Ta3CoHg GGA-PBE relaxed; crystal system = cubic; calculated formation energy = 0.693 eV per atom
1.0
4.603 0.000 0.000
0.000 4.603 0.000
0.000 0.000 4.603
Ta Co Hg
3 1 1
Cartesian
0.000 0.000 2.302
0.000 2.302 0.000
2.302 0.000 0.000
0.000 0.000 0.000
2.302 2.302 2.302

# 4
K3TmRh3O8 GGA-PBE relaxed; crystal system = trigonal; formation energy from raw total energies = -1449 meV per atom
1.0
3.183 1.838 6.111
-3.183 1.838 6.111
0.000 -3.676 6.111
K Tm Rh O
3 1 3 8
Cartesian
-1.592 -0.919 6.111
-1.592 0.919 12.222
0.000 1.838 6.111
0.000 0.000 9.167
-3.183 0.000 9.167
-1.592 0.919 3.056
1.592 0.919 3.056
-1.680 -0.970 10.247
0.000 0.000 4.074
0.000 -1.940 8.087
-1.680 0.970 8.087
1.680 -0.970 10.247
0.000 1.940 10.247
0.000 0.000 14.259
1.680 0.970 8.087

# 5
TaV3C GGA-PBE relaxed; crystal system = cubic; calculated formation energy = -0.144 eV per atom
1.0
4.038 0.000 0.000
0.000 4.038 0.000
0.000 0.000 4.038
Ta V C
1 3 1
Cartesian
0.000 0.000 0.000
0.000 2.019 2.019
2.019 0.000 2.019
2.019 2.019 0.000
2.019 2.019 2.019

# 6
Tb6Pr12Ho GGA-PBE relaxed; crystal system = trigonal; calculated formation energy = 0.230 eV per atom
1.0
7.485 4.322 3.513
-7.485 4.322 3.513
0.000 -8.643 3.513
Tb Pr Ho
6 12 1
Cartesian
-1.917 -2.058 2.727
-0.824 2.689 2.727
2.741 -0.631 2.727
-2.741 0.631 7.813
0.824 -2.689 7.813
1.917 2.058 7.813
-6.750 1.344 4.342
-4.539 -5.174 6.198
-3.410 0.639 4.466
2.211 -6.518 4.342
-2.259 -2.634 6.075
1.152 -3.273 4.466
-1.152 3.273 6.075
2.259 2.634 4.466
-2.211 6.518 6.198
3.410 -0.639 6.075
4.539 5.174 4.342
6.750 -1.344 6.198
0.000 0.000 5.270

# 7
NpFeTc2 GGA-PBE relaxed; crystal system = tetragonal; calculated formation energy = 0.106 eV per atom
1.0
4.286 0.000 0.000
0.000 4.286 0.000
0.000 0.000 3.384
Np Fe Tc
1 1 2
Cartesian
0.000 0.000 0.000
2.143 2.143 0.000
0.000 2.143 1.692
2.143 0.000 1.692

# 8
SrMg3Au GGA-PBE relaxed; crystal system = hexagonal; calculated formation energy = -0.249 eV per atom
1.0
7.166 0.000 0.000
-3.583 6.206 0.000
0.000 0.000 5.991
Sr Mg Au
2 6 2
Cartesian
0.000 4.137 1.498
3.583 2.069 4.493
0.000 2.295 4.493
-1.596 5.058 4.493
1.987 1.147 1.498
1.596 5.058 4.493
5.178 1.147 1.498
3.583 3.911 1.498
0.000 0.000 0.000
0.000 0.000 2.995

# 9
KAlHgCl2 GGA-PBE relaxed; crystal system = tetragonal; formation energy from raw total energies = -564 meV per atom
1.0
5.248 0.000 0.000
0.000 5.248 0.000
0.000 0.000 6.542
K Al Hg Cl
1 1 1 2
Cartesian
0.000 0.000 0.000
0.000 0.000 3.271
2.624 2.624 0.000
0.000 2.624 3.271
2.624 0.000 3.271

# 10
NaZr2FeH GGA-PBE relaxed; crystal system = tetragonal; energy = -5.6977 eV/atom
1.0
4.528 0.000 0.000
0.000 4.528 0.000
0.000 0.000 3.745
Na Zr Fe H
1 2 1 1
Cartesian
0.000 0.000 0.000
0.000 2.264 1.872
2.264 0.000 1.872
2.264 2.264 0.000
0.000 0.000 1.872

# 11
Na2LaO2 GGA-PBE relaxed; crystal system = tetragonal; formation energy from raw total energies = -1674 meV per atom
1.0
6.758 0.000 0.000
0.000 6.758 0.000
0.000 0.000 4.144
Na La O
4 2 4
Cartesian
0.992 2.387 0.000
2.387 5.766 0.000
4.371 0.992 0.000
5.766 4.371 0.000
0.000 0.000 2.072
3.379 3.379 2.072
1.525 4.904 2.072
1.855 1.525 2.072
4.904 5.234 2.072
5.234 1.855 2.072

# 12
ReI2O GGA-PBE relaxed; crystal system = cubic; formation energy from raw total energies = 1046 meV per atom
1.0
6.592 0.000 0.000
0.000 6.592 0.000
0.000 0.000 6.592
Re I O
4 8 4
Cartesian
0.000 0.000 0.000
0.000 3.296 3.296
3.296 0.000 3.296
3.296 3.296 0.000
1.648 1.648 1.648
1.648 1.648 4.944
1.648 4.944 1.648
1.648 4.944 4.944
4.944 1.648 1.648
4.944 1.648 4.944
4.944 4.944 1.648
4.944 4.944 4.944
0.000 0.000 3.296
0.000 3.296 0.000
3.296 0.000 0.000
3.296 3.296 3.296

# 13
SiAg2Br6 GGA-PBE relaxed; crystal system = monoclinic; formation energy from raw total energies = -423 meV per atom
1.0
7.115 0.000 0.000
0.000 6.756 0.000
-6.549 0.000 10.740
Si Ag Br
2 4 12
Cartesian
0.000 0.000 0.000
-3.274 3.378 5.370
-2.934 0.050 8.399
0.340 3.328 3.029
0.226 3.428 7.712
3.501 6.706 2.342
-5.577 4.804 9.735
-2.303 5.330 4.365
-4.472 1.222 10.387
-1.198 2.156 5.016
-2.455 4.153 7.603
0.819 5.981 2.233
-0.252 0.775 8.508
3.022 2.603 3.138
1.764 4.600 5.724
5.039 5.535 0.354
2.870 1.426 6.376
6.144 1.952 1.005

# 14
RbTlAsIr GGA-PBE relaxed; crystal system = tetragonal; calculated formation energy = -0.243 eV per atom
1.0
4.188 0.000 0.000
0.000 4.188 0.000
0.000 0.000 13.522
Rb Tl As Ir
2 2 2 2
Cartesian
1.047 1.047 3.300
3.141 3.141 10.222
1.047 3.141 6.761
3.141 1.047 6.761
1.047 1.047 12.168
3.141 3.141 1.354
1.047 3.141 0.000
3.141 1.047 0.000

# 15
MgMnSe2 GGA-PBE relaxed; crystal system = orthorhombic; formation energy from raw total energies = -603 meV per atom
1.0
3.575 0.000 0.000
0.000 3.610 0.000
0.000 0.000 12.896
Mg Mn Se
2 2 4
Cartesian
0.000 0.000 0.000
1.788 1.805 6.448
0.000 1.805 9.716
1.788 0.000 3.268
0.000 0.000 5.327
0.000 1.805 2.160
1.788 0.000 8.608
1.788 1.805 11.775

# 16
Y2HoAlC GGA-PBE relaxed; crystal system = tetragonal; calculated formation energy = -0.419 eV per atom
1.0
4.893 0.000 0.000
0.000 4.893 0.000
0.000 0.000 4.862
Y Ho Al C
2 1 1 1
Cartesian
0.000 2.446 0.000
2.446 0.000 0.000
0.000 0.000 2.431
2.446 2.446 2.431
0.000 0.000 0.000

# 17
Y2HgRh GGA-PBE relaxed; crystal system = tetragonal; calculated formation energy = -0.282 eV per atom
1.0
7.760 0.000 0.000
0.000 7.760 0.000
0.000 0.000 6.872
Y Hg Rh
8 4 4
Cartesian
1.633 5.820 0.859
1.940 1.633 6.013
1.940 2.247 2.577
2.247 5.820 4.295
5.513 1.940 4.295
5.820 5.513 2.577
5.820 6.127 6.013
6.127 1.940 0.859
0.000 0.000 3.436
0.000 3.880 5.154
3.880 0.000 1.718
3.880 3.880 0.000
0.000 0.000 0.000
0.000 3.880 1.718
3.880 0.000 5.154
3.880 3.880 3.436

# 18
Tl2AgPb GGA-PBE relaxed; crystal system = trigonal; calculated formation energy = 0.103 eV per atom
1.0
3.553 0.000 0.000
-1.777 3.077 0.000
0.000 0.000 30.412
Tl Ag Pb
6 3 3
Cartesian
0.000 0.000 7.306
0.000 0.000 23.106
0.000 2.052 12.969
0.000 2.052 27.581
1.777 1.026 2.831
1.777 1.026 17.443
0.000 0.000 15.206
0.000 2.052 5.069
1.777 1.026 25.343
0.000 0.000 0.000
0.000 2.052 20.275
1.777 1.026 10.137